# 1
First-principles (PBE) data for a geometry-optimized Zr12Al3In structure, as listed in Alexandria.

abc: 4.4089 4.4089 17.6005
angles: 90.00 90.00 90.00
Space group P4/mmm (No. 123)
Symmetry-distinct sites (fractional):
Zr 0.0000 0.0000 0.0000 (multiplicity 1)
Zr 0.0000 0.0000 0.2474 (multiplicity 2)
Zr 0.0000 0.0000 0.5000 (multiplicity 1)
Zr 0.0000 0.5000 0.1237 (multiplicity 4)
Zr 0.0000 0.5000 0.3702 (multiplicity 4)
Al 0.5000 0.5000 0.0000 (multiplicity 1)
Al 0.5000 0.5000 0.2478 (multiplicity 2)
In 0.5000 0.5000 0.5000 (multiplicity 1)

Summary:
Spin magnetization, μB/cell: 0.0
DFT total energy, eV/atom: -7.57
DOS at the Fermi energy, states/eV/cell: 13.96
Density, kg/m3: 6263

***

# 2
First-principles (PBE) data for a geometry-optimized Li3Sc2PdO6 structure, as listed in Alexandria.

abc: 5.3199 9.3204 5.2688
angles: 90.00 108.35 90.00
Space group C2/m (No. 12)
Symmetry-distinct sites (fractional):
Li 0.0000 0.0000 0.0000 (multiplicity 2)
Li 0.0000 0.3381 0.0000 (multiplicity 4)
Sc 0.0000 0.1699 0.5000 (multiplicity 4)
Pd 0.0000 0.5000 0.5000 (multiplicity 2)
O 0.2471 0.0000 0.7275 (multiplicity 4)
O 0.2468 0.1727 0.2576 (multiplicity 8)

Summary:
Spin magnetization, μB/cell: 2.1
DOS at the Fermi energy, states/eV/cell: 2.13
Energy relative to the elements, uncorrected, kJ/mol of atoms: -218.27
Density, kg/m3: 4194

***

# 3
First-principles (PBE) data for a geometry-optimized BaLi3Sn2 structure, as listed in Alexandria.

abc: 14.5130 4.8152 9.5807
angles: 90.00 115.97 90.00
Space group C2/m (No. 12)
Symmetry-distinct sites (fractional):
Ba 0.1247 0.0000 0.0050 (multiplicity 4)
Li 0.0439 0.0000 0.3975 (multiplicity 4)
Li 0.0953 0.5000 0.6400 (multiplicity 4)
Li 0.2334 0.0000 0.4149 (multiplicity 4)
Sn 0.0817 0.5000 0.2713 (multiplicity 4)
Sn 0.2104 0.0000 0.7141 (multiplicity 4)

Summary:
Relative energy among the computed polymorphs, meV/atom: 0
Spin magnetization, μB/cell: 0.0
DOS at the Fermi energy, states/eV/cell: 9.02
Density, kg/m3: 4365

***

# 4
First-principles (PBE) data for a geometry-optimized TaP3S structure, as listed in Alexandria.

abc: 4.7985 4.7985 4.7985
angles: 90.00 90.00 90.00
Space group Pm-3m (No. 221)
Symmetry-distinct sites (fractional):
Ta 0.0000 0.0000 0.0000 (multiplicity 1)
P 0.0000 0.0000 0.5000 (multiplicity 3)
S 0.5000 0.5000 0.5000 (multiplicity 1)

Summary:
Relative energy among the computed polymorphs, meV/atom: 0
Spin magnetization, μB/cell: 0.4
DOS at the Fermi energy, states/eV/cell: 3.78
Energy relative to the elements, uncorrected, kJ/mol of atoms: 68.10
Density, kg/m3: 4598